First-principles (PBE) data for Pa2AlZn9 after structural relaxation, as listed in Alexandria.

Volume = 17.94 Å³ per atom
DOS at the Fermi energy = 10.59 states/eV/f.u.
DFT formation energy = 0.057 eV per atom

a = 5.3636 Å, b = 5.3636 Å, c = 25.9219 Å
α = 90.00°, β = 90.00°, γ = 120.00°
Last column: nearest neighbours and their distance in Å.
Space group R-3m (No. 166, hexagonal axes)
Symmetry-distinct sites (fractional):
Pa1 0.0000 0.0000 0.1492 (multiplicity 6)  12 Zn 3.08-3.21, 3 Pa 3.23
Al1 0.0000 0.0000 0.0000 (multiplicity 3)  18 Zn 3.10-3.41
Zn1 0.0000 0.0000 0.3352 (multiplicity 6)  6 Zn 2.58-2.64
Zn2 0.0000 0.0000 0.5000 (multiplicity 3)  6 Zn 2.71
Zn3 0.0037 0.5018 0.9188 (multiplicity 18)  7 Zn 2.58-2.71